No. 1
First-principles (GGA-PBE) data for a geometry-optimized Li2Ag4Sb3 structure, as listed in Alexandria via LeMat-Bulk.

Cell and atoms, written as CIF:
```
data_Li2Ag4Sb3
_chemical_formula_sum 'Li2 Ag4 Sb3'
_space_group_name_H-M_alt 'P -1'
_space_group_IT_number 2
_space_group_name_Hall '-P 1'
_cell_length_a 4.3674
_cell_length_b 4.9724
_cell_length_c 10.2206
_cell_angle_alpha 85.68
_cell_angle_beta 77.67
_cell_angle_gamma 63.96
loop_
_atom_site_label
_atom_site_type_symbol
_atom_site_fract_x
_atom_site_fract_y
_atom_site_fract_z
Li1 Li 0.0172 0.1687 0.2983
Ag1 Ag 0.2306 0.2434 0.7944
Ag2 Ag 0.2438 0.6081 0.4047
Sb1 Sb 0.4992 0.3720 0.1305
Sb2 Sb 0.5000 0.0000 0.5000
```

=====

No. 2
# LiAgSb2 GGA-PBE optimized geometry
data_LiAgSb2
_chemical_formula_sum 'Li3 Ag3 Sb6'
_space_group_name_H-M_alt 'R -3 m'
_space_group_IT_number 166
_space_group_name_Hall '-R 3 2"'
_cell_length_a 3.4637
_cell_length_b 3.4637
_cell_length_c 26.1408
_cell_angle_alpha 90.00
_cell_angle_beta 90.00
_cell_angle_gamma 120.00
loop_
_atom_site_label
_atom_site_type_symbol
_atom_site_fract_x
_atom_site_fract_y
_atom_site_fract_z
Li1 Li 0.0000 0.0000 0.0000
Ag1 Ag 0.0000 0.0000 0.5000
Sb1 Sb 0.0000 0.0000 0.2497
# ΔE to the lowest computed polymorph, meV/atom: 73.7

=====

No. 3
First-principles (GGA-PBE) data for a geometry-optimized Li5AgSb2 structure, as listed in Alexandria via LeMat-Bulk.

Cell and atoms, written as CIF:
```
data_Li5AgSb2
_chemical_formula_sum 'Li10 Ag2 Sb4'
_space_group_name_H-M_alt 'P 63/m m c'
_space_group_IT_number 194
_space_group_name_Hall '-P 6c 2c'
_cell_length_a 4.7843
_cell_length_b 4.7843
_cell_length_c 17.9408
_cell_angle_alpha 90.00
_cell_angle_beta 90.00
_cell_angle_gamma 120.00
loop_
_atom_site_label
_atom_site_type_symbol
_atom_site_fract_x
_atom_site_fract_y
_atom_site_fract_z
Li1 Li 0.0000 0.0000 0.1301
Li2 Li 0.3333 0.6667 0.0553
Li3 Li 0.3333 0.6667 0.2500
Ag1 Ag 0.3333 0.6667 0.7500
Sb1 Sb 0.3333 0.6667 0.6040
```

=====

No. 4
# Li2Ag2Sb GGA-PBE optimized geometry
data_Li2Ag2Sb
_chemical_formula_sum 'Li8 Ag8 Sb4'
_space_group_name_H-M_alt 'C 1 2/m 1'
_space_group_IT_number 12
_space_group_name_Hall '-C 2y'
_cell_length_a 8.8828
_cell_length_b 4.3268
_cell_length_c 9.5433
_cell_angle_alpha 90.00
_cell_angle_beta 93.29
_cell_angle_gamma 90.00
loop_
_atom_site_label
_atom_site_type_symbol
_atom_site_fract_x
_atom_site_fract_y
_atom_site_fract_z
Li1 Li 0.0562 0.0000 0.1446
Li2 Li 0.1519 0.0000 0.4475
Ag1 Ag 0.0368 0.5000 0.6462
Ag2 Ag 0.1468 0.5000 0.9506
Sb1 Sb 0.2378 0.0000 0.7512
# ΔE to the lowest computed polymorph, meV/atom: 0.0

=====

No. 5
# LiAgSb2 GGA-PBE optimized geometry
data_LiAgSb2
_chemical_formula_sum 'Li1 Ag1 Sb2'
_space_group_name_H-M_alt 'P 1 2/m 1'
_space_group_IT_number 10
_space_group_name_Hall '-P 2y'
_cell_length_a 3.2357
_cell_length_b 4.4916
_cell_length_c 6.5092
_cell_angle_alpha 90.00
_cell_angle_beta 94.00
_cell_angle_gamma 90.00
loop_
_atom_site_label
_atom_site_type_symbol
_atom_site_fract_x
_atom_site_fract_y
_atom_site_fract_z
Li1 Li 0.0000 0.0000 0.0000
Ag1 Ag 0.5000 0.0000 0.5000
Sb1 Sb 0.4730 0.5000 0.7692
# ΔE to the lowest computed polymorph, meV/atom: 0.0

=====

No. 6
# LiAgSb2 GGA-PBE optimized geometry
data_LiAgSb2
_chemical_formula_sum 'Li2 Ag2 Sb4'
_space_group_name_H-M_alt 'I m m 2'
_space_group_IT_number 44
_space_group_name_Hall 'I 2 -2'
_cell_length_a 4.2745
_cell_length_b 4.2785
_cell_length_c 9.7613
_cell_angle_alpha 90.00
_cell_angle_beta 90.00
_cell_angle_gamma 90.00
loop_
_atom_site_label
_atom_site_type_symbol
_atom_site_fract_x
_atom_site_fract_y
_atom_site_fract_z
Li1 Li 0.0000 0.0000 0.0000
Ag1 Ag 0.0000 0.5000 0.2490
Sb1 Sb 0.0000 0.0000 0.4996
Sb2 Sb 0.0000 0.5000 0.7499
# ΔE to the lowest computed polymorph, meV/atom: 49.6

=====

We obtain total moment values of 0.0 0.0 0.0 0.0 0.0 0.0 μB/cell for the records listed above, in that order.
We obtain uncorrected energy values of -3.227 -3.334 -3.013 -3.007 -3.408 -3.358 eV/atom for the records listed above, in that order.